Entry 1:
Ac2Cu2Hg | Alexandria via LeMat-Bulk | PBE | optimized geometry; polymorph energy (0 for the lowest one) = 0.073 eV per atom; formation enthalpy at 0 K = -1.118 eV per formula unit; volume = 26.9 Å³ per atom; D(E_F) = 7.74 states/eV/cell
1.0
-3.2568 1.9383 2.1579
1.1782 -0.2625 6.4210
3.5416 9.5764 1.1502
Ac Cu Hg
4 4 2
Direct
0.3165 0.2634 0.1036
0.5042 0.3204 0.6713
0.6835 0.7366 0.8964
0.4958 0.6796 0.3287
0.9876 0.1328 0.8920
0.1188 0.3203 0.4421
0.0124 0.8672 0.1080
0.8812 0.6797 0.5579
0.7719 0.0944 0.3618
0.2281 0.9056 0.6382

Entry 2:
Ac2Cu2Hg | Alexandria via LeMat-Bulk | PBE | optimized geometry; polymorph energy (0 for the lowest one) = 0.000 eV per atom; formation enthalpy at 0 K = -1.482 eV per formula unit; volume = 27.0 Å³ per atom; D(E_F) = 4.05 states/eV/cell
1.0
4.0685 0.0000 0.0000
0.0000 4.1695 -1.1854
0.0000 0.0104 7.9624
Ac Cu Hg
2 2 1
Direct
0.5000 0.6310 0.2620
0.5000 0.3690 0.7380
0.0000 0.2083 0.4166
0.0000 0.7917 0.5834
0.0000 0.0000 0.0000